# 1
An optimized crystal structure of Gd2SnBi. Source: Alexandria, functional PBE.

## Properties
Relative energy among the computed polymorphs ... 0.11 eV/f.u.
Energy ... -9.691 eV/atom
Space-group type ... P4/mmm (123)

a = 3.5890 Å, b = 3.5890 Å, c = 8.7669 Å
α = 90.00°, β = 90.00°, γ = 90.00°
Fractional positions:
1 Gd 0.0000 0.0000 0.7584
2 Gd 0.0000 0.0000 0.2416
3 Bi 0.5000 0.5000 0.5000
4 Sn 0.5000 0.5000 0.0000

---

# 2
An optimized crystal structure of SrAl2H. Source: Alexandria, functional PBE.

## Properties
Relative energy among the computed polymorphs ... 0.00 eV/f.u.
Energy ... -3.106 eV/atom
Space-group type ... Fd-3m (227)

a = 6.0478 Å, b = 6.0478 Å, c = 6.0461 Å
α = 59.99°, β = 59.99°, γ = 90.00°
Fractional positions:
1 Sr 0.0000 0.0000 0.0000
2 Sr 0.7500 0.2500 0.5000
3 Al 0.3750 0.1250 0.2500
4 Al 0.3750 0.6250 0.2500
5 Al 0.3750 0.6250 0.7500
6 Al 0.8750 0.6250 0.7500
7 H 0.5000 0.5000 0.0000
8 H 0.2500 0.7500 0.5000

---

# 3
An optimized crystal structure of TbEuTh2. Source: Alexandria, functional PBE.

## Properties
Relative energy among the computed polymorphs ... 0.32 eV/f.u.
Energy ... -7.204 eV/atom
Space-group type ... P4/mmm (123)

a = 4.2134 Å, b = 4.2134 Å, c = 7.5309 Å
α = 90.00°, β = 90.00°, γ = 90.00°
Fractional positions:
1 Eu 0.5000 0.5000 0.5000
2 Tb 0.5000 0.5000 0.0000
3 Th 0.0000 0.0000 0.7679
4 Th 0.0000 0.0000 0.2321

---

# 4
An optimized crystal structure of InFe2RhN. Source: Alexandria, functional PBE.

## Properties
Formation energy (no corrections) ... -0.0607 eV per atom
Energy ... -7.129 eV/atom
Space-group type ... P4/mmm (123)

a = 3.8600 Å, b = 3.8600 Å, c = 4.2951 Å
α = 90.00°, β = 90.00°, γ = 90.00°
Fractional positions:
1 N 0.0000 0.0000 0.0000
2 Rh 0.0000 0.0000 0.5000
3 Fe 0.0000 0.5000 0.0000
4 Fe 0.5000 0.0000 0.0000
5 In 0.5000 0.5000 0.5000